This record from Alexandria describes Ta3CoGe2 after structural relaxation. The functional is PBE.

Cell lengths 3.707, 9.951, 10.538 Å; angles 90.00, 90.00, 90.00 degrees
Positions (direct):
1 Ge 0.750 0.203 0.996
2 Ta 0.250 0.109 0.566
3 Ta 0.750 0.243 0.250
4 Ta 0.250 0.391 0.066
5 Co 0.750 0.626 0.390
6 Ta 0.250 0.743 0.250
7 Ge 0.250 0.472 0.812
8 Ta 0.250 0.448 0.371
9 Co 0.250 0.126 0.110
10 Ge 0.750 0.972 0.688
11 Ta 0.750 0.948 0.129
12 Ge 0.750 0.528 0.188
13 Ta 0.750 0.891 0.434
14 Ta 0.750 0.552 0.629
15 Co 0.750 0.874 0.890
16 Co 0.250 0.374 0.610
17 Ge 0.250 0.028 0.312
18 Ge 0.250 0.703 0.504
19 Ge 0.250 0.797 0.004
20 Ta 0.750 0.609 0.934
21 Ta 0.750 0.257 0.750
22 Ta 0.250 0.757 0.750
23 Ge 0.750 0.297 0.496
24 Ta 0.250 0.052 0.871

Results
Total energy (eV/atom): -8.887
M_tot (μB/f.u.): 0.0
Calculated formation energy (eV per atom): -0.237
Symmetry: Pnma (62)

---

This record from Alexandria describes KCd3As3 after structural relaxation. The functional is PBE.

Cell lengths 7.568, 7.568, 7.568 Å; angles 90.00, 90.00, 90.00 degrees
Positions (direct):
1 K 0.000 0.000 0.000
2 K 0.500 0.500 0.500
3 Cd 0.500 0.000 0.750
4 As 0.000 0.500 0.750
5 Cd 0.750 0.500 0.000
6 As 0.500 0.750 0.000
7 As 0.000 0.500 0.250
8 Cd 0.000 0.250 0.500
9 As 0.750 0.000 0.500
10 As 0.250 0.000 0.500
11 As 0.500 0.250 0.000
12 Cd 0.500 0.000 0.250
13 Cd 0.000 0.750 0.500
14 Cd 0.250 0.500 0.000

Results
Total energy (eV/atom): -2.655
M_tot (μB/f.u.): 0.0
Calculated formation energy (eV per atom): -0.113
Symmetry: Pm-3n (223)

---

This record from Alexandria describes CaMg4Zr after structural relaxation. The functional is PBE.

Cell lengths 5.949, 5.949, 5.949 Å; angles 60.00, 60.00, 60.00 degrees
Positions (direct):
1 Mg 0.376 0.376 0.871
2 Mg 0.376 0.376 0.376
3 Mg 0.871 0.376 0.376
4 Ca 0.000 0.000 0.000
5 Zr 0.750 0.750 0.750
6 Mg 0.376 0.871 0.376

Results
Total energy (eV/atom): -2.713
M_tot (μB/f.u.): 0.8
Calculated formation energy (eV per atom): 0.108
Symmetry: F-43m (216)

---

This record from Alexandria describes MnBiSe2 after structural relaxation. The functional is PBE.

Cell lengths 4.017, 8.496, 6.604 Å; angles 76.04, 90.38, 87.92 degrees
Positions (direct):
1 Se 0.207 0.436 0.312
2 Bi 0.266 0.118 0.098
3 Mn 0.161 0.731 0.125
4 Se 0.715 0.314 0.845
5 Se 0.662 0.815 0.300
6 Se 0.086 0.952 0.794
7 Mn 0.705 0.504 0.077
8 Bi 0.223 0.644 0.743

Results
Total energy (eV/atom): -5.193
Energy relative to the elements, uncorrected (eV/atom): -0.1882
M_tot (μB/f.u.): 3.6
Symmetry: P1 (1)

---

This record from Alexandria describes YNiPb2Au after structural relaxation. The functional is PBE.

Cell lengths 5.408, 5.535, 5.408 Å; angles 90.00, 90.00, 90.00 degrees
Positions (direct):
1 Pb 0.500 0.000 0.000
2 Pb 0.000 0.000 0.500
3 Y 0.000 0.500 0.000
4 Ni 0.500 0.500 0.500
5 Au 0.000 0.000 0.000

Results
Total energy (eV/atom): -3.902
M_tot (μB/f.u.): 0.6
Calculated formation energy (eV per atom): 0.686
Symmetry: P4/mmm (123)

---

This record from Alexandria describes BeSi2C2 after structural relaxation. The functional is PBE.

Cell lengths 3.985, 3.985, 4.380 Å; angles 62.94, 62.94, 90.00 degrees
Positions (direct):
1 Si 0.250 0.750 0.500
2 C 0.748 0.748 0.504
3 Be 0.000 0.000 0.000
4 C 0.252 0.252 0.496
5 Si 0.750 0.250 0.500

Results
Total energy (eV/atom): -5.876
Energy relative to the elements, uncorrected (eV/atom): 0.7275
M_tot (μB/f.u.): 0.0
Symmetry: I4/mmm (139)